PBE Ta2VZnP, relaxed; N(E_F) = 1.102 states/eV/atom; uncorrected energy = -6.93 eV per atom; SG = No. 123; DFT formation energy = 22.30 kcal/mol of atoms; calculated density = 8.80 g cm⁻³
1.0
-1.154 3.039 -3.400
-4.016 0.290 1.621
1.362 3.577 2.735
P Zn Ta V
1 1 2 1
direct
0.000 0.500 0.000
0.500 0.500 0.500
0.500 0.000 0.000
0.000 0.000 0.500
0.000 0.000 0.000